[1]
Cd2CuTe: relaxed, PBE.

Output
- total energy (eV/cell) = -17.104
- E_form (uncorrected) (eV per atom) = 0.129

Lattice parameters (Å, degrees): 4.4415 4.4581 9.2089 90.00 90.00 90.00
Space group Cmmm (No. 65)
Inequivalent atoms, fractional coordinates:
Cd 0.0000 0.0000 0.1843 [4 per cell]
Cu 0.0000 0.5000 0.0000 [2 per cell]
Te 0.0000 0.5000 0.5000 [2 per cell]



[2]
Li7CuHg3: relaxed, PBE.

Output
- total energy (eV/cell) = -82.113
- energy relative to the elements (meV/atom) = -194

Lattice parameters (Å, degrees): 3.1285 21.9831 11.9218 90.00 90.00 90.00
Space group Cmcm (No. 63)
Inequivalent atoms, fractional coordinates:
Li 0.0000 0.0487 0.1325 [8 per cell]
Li 0.0000 0.0836 0.6034 [8 per cell]
Li 0.0000 0.1833 0.2500 [4 per cell]
Li 0.0000 0.2237 0.5986 [8 per cell]
Cu 0.0000 0.4719 0.2500 [4 per cell]
Hg 0.0000 0.3428 0.2500 [4 per cell]
Hg 0.0000 0.3499 0.5580 [8 per cell]



[3]
Nd3Er4Rh4: relaxed, PBE.

Output
- total energy (eV/cell) = -137.433
- energy relative to the elements (meV/atom) = -614

Lattice parameters (Å, degrees): 3.8696 8.8392 15.8410 90.00 90.00 90.00
Space group Immm (No. 71)
Inequivalent atoms, fractional coordinates:
Nd 0.0000 0.0000 0.0000 [2 per cell]
Nd 0.0000 0.5000 0.1017 [4 per cell]
Er 0.0000 0.3108 0.3323 [8 per cell]
Rh 0.0000 0.0000 0.2424 [4 per cell]
Rh 0.0000 0.2242 0.5000 [4 per cell]



[4]
Pr2Cu3AgSn4: relaxed, PBE.

Output
- total energy (eV/cell) = -44.830
- energy relative to the elements (meV/atom) = -412

Lattice parameters (Å, degrees): 4.5133 4.5133 10.9313 90.00 90.00 90.00
Space group P-4m2 (No. 115)
Inequivalent atoms, fractional coordinates:
Pr 0.0000 0.5000 0.2487 [2 per cell]
Cu 0.0000 0.0000 0.0000 [1 per cell]
Cu 0.0000 0.5000 0.6312 [2 per cell]
Ag 0.5000 0.5000 0.0000 [1 per cell]
Sn 0.0000 0.0000 0.5000 [1 per cell]
Sn 0.0000 0.5000 0.8628 [2 per cell]
Sn 0.5000 0.5000 0.5000 [1 per cell]



[5]
HoInIO6: relaxed, PBE.

Output
- total energy (eV/cell) = -102.728
- E_form (uncorrected) (eV per atom) = -1.416

Lattice parameters (Å, degrees): 5.5724 5.5724 9.1526 90.00 90.00 120.00
Space group P-31c (No. 163)
Inequivalent atoms, fractional coordinates:
Ho 0.3333 0.6667 0.2500 [2 per cell]
In 0.0000 0.0000 0.0000 [2 per cell]
I 0.3333 0.6667 0.7500 [2 per cell]
O 0.0345 0.3608 0.6295 [12 per cell]



[6]
Ta2CuNi: relaxed, PBE.

Output
- total energy (eV/cell) = -133.033
- energy relative to the elements (meV/atom) = 81

Lattice parameters (Å, degrees): 6.2013 6.2013 6.2013 90.00 90.00 90.00
Space group Fm-3m (No. 225)
Inequivalent atoms, fractional coordinates:
Ta 0.2500 0.2500 0.2500 [8 per cell]
Cu 0.0000 0.0000 0.0000 [4 per cell]
Ni 0.0000 0.0000 0.5000 [4 per cell]